Compound: La4TbPr2Sm
Source: Alexandria via LeMat-Bulk
Functional: PBE
Structure: relaxed

Unit cell a=5.2741 b=5.2406 c=11.5975 alpha=63.04 beta=90.00 gamma=90.00
Positions (direct):
Sm (0.0000, 0.5000, 0.5000)
Tb (0.5000, 0.5000, 0.0000)
La (0.5000, 0.2488, 0.7513)
Pr (0.0000, 0.0000, 0.0000)
La (0.0000, 0.7503, 0.7505)
Pr (0.5000, 0.0000, 0.5000)
La (0.0000, 0.2497, 0.2495)
La (0.5000, 0.7512, 0.2487)

Calculated values
Magnetization = 0.0 μB/cell
E_tot = -4.81 eV per atom
ΔH_f (0 K) = 0.31 kcal/mol of atoms

Compound: LaTbPr4Sm2
Source: Alexandria via LeMat-Bulk
Functional: PBE
Structure: relaxed

Unit cell a=3.6941 b=12.2072 c=6.3535 alpha=79.75 beta=90.00 gamma=90.00
Positions (direct):
Pr (0.0000, 0.2481, 0.2522)
Pr (0.5000, 0.2501, 0.7505)
La (0.5000, 0.5000, 0.0000)
Pr (0.0000, 0.7519, 0.7478)
Sm (0.5000, 0.0000, 0.5000)
Pr (0.5000, 0.7499, 0.2495)
Sm (0.0000, 0.0000, 0.0000)
Tb (0.0000, 0.5000, 0.5000)

Calculated values
Magnetization = 0.0 μB/cell
E_tot = -4.75 eV per atom
ΔH_f (0 K) = 0.36 kcal/mol of atoms

Compound: La3TbPr2Sm6
Source: Alexandria via LeMat-Bulk
Functional: PBE
Structure: relaxed

Unit cell a=6.3605 b=6.3605 c=12.1348 alpha=95.03 beta=95.03 gamma=120.04
Positions (direct):
Sm (0.2501, 0.2501, 0.7523)
La (0.8333, 0.1667, 0.5000)
Sm (0.5854, 0.9177, 0.7523)
Tb (0.0000, 0.0000, 0.0000)
Sm (0.4146, 0.0823, 0.2477)
Sm (0.0823, 0.4146, 0.2477)
Pr (0.3334, 0.6666, 0.0000)
La (0.5000, 0.5000, 0.5000)
La (0.1667, 0.8333, 0.5000)
Pr (0.6666, 0.3334, 0.0000)
Sm (0.9177, 0.5854, 0.7523)
Sm (0.7499, 0.7499, 0.2477)

Calculated values
Magnetization = 0.0 μB/cell
E_tot = -4.76 eV per atom
ΔH_f (0 K) = 0.34 kcal/mol of atoms